<i>
CeTmAs2 | PBE | optimized geometry

a = 4.145 Å, b = 4.145 Å, c = 7.156 Å
α = 73.16°, β = 73.16°, γ = 60.00°
Fractional coordinates of all 4 atoms:
As  0.253  0.253  0.242
As  0.747  0.747  0.758
Ce  0.500  0.500  0.500
Tm  0.000  0.000  0.000

Properties
As for the mass density: 7.60 g/cm³. Its total magnetization is 0.7 μB/f.u. The calculation puts the density of states at the Fermi level at 1.38 states/eV per atom.

<ii>
CeTmAs2 | PBE | optimized geometry

a = 4.114 Å, b = 4.114 Å, c = 7.413 Å
α = 73.89°, β = 73.89°, γ = 60.00°
Fractional coordinates of all 4 atoms:
Ce  0.670  0.670  0.991
As  0.085  0.085  0.745
Tm  0.497  0.497  0.509
As  0.249  0.249  0.254

Properties
As for the mass density: 7.40 g/cm³. Its total magnetization is 0.8 μB/f.u. The calculation puts the density of states at the Fermi level at 1.29 states/eV per atom.

Stability ranking, top entry: <i>; the second entry is 166 meV/atom less favorable.